No. 1
A plane-wave DFT calculation with PBE was carried out for crystalline Dy5CdGa2 at its relaxed geometry.

**Energy relative to the elements**: -0.40 eV/atom

Structure (POSCAR):
```
Dy5CdGa2
1.0
-3.4615 -6.4731 2.0180
-3.4980 -0.2361 -6.7575
9.1185 -0.5283 -0.4135
Ga Cd Dy
4 2 10
Direct
0.6218 0.1218 0.0000 Ga
0.1218 0.3782 0.0000 Ga
0.8782 0.6218 0.0000 Ga
0.3782 0.8782 0.0000 Ga
0.7500 0.7500 0.5000 Cd
0.2500 0.2500 0.5000 Cd
0.6860 0.1860 0.7120 Dy
0.0259 0.5259 0.7120 Dy
0.9741 0.4741 0.2880 Dy
0.0000 0.0000 0.0000 Dy
0.5259 0.6860 0.7120 Dy
0.5000 0.5000 0.0000 Dy
0.3140 0.8140 0.2880 Dy
0.1860 0.0259 0.7120 Dy
0.4741 0.3140 0.2880 Dy
0.8140 0.9741 0.2880 Dy
```

=====

No. 2
A plane-wave DFT calculation with PBE was carried out for crystalline Dy3Cd2Ga4 at its relaxed geometry.

**Energy relative to the elements**: -0.51 eV/atom

Structure (POSCAR):
```
Dy3Cd2Ga4
1.0
4.5413 0.0000 0.0000
-2.2706 5.1011 -1.7102
0.0000 -0.4758 8.7137
Ga Dy Cd
4 3 2
Direct
0.9281 0.8562 0.5853 Ga
0.7019 0.4037 0.0270 Ga
0.2981 0.5963 0.9730 Ga
0.0719 0.1438 0.4147 Ga
0.0000 0.0000 0.0000 Dy
0.3305 0.6609 0.3325 Dy
0.6695 0.3391 0.6675 Dy
0.6043 0.2086 0.2716 Cd
0.3957 0.7914 0.7284 Cd
```

=====

No. 3
A plane-wave DFT calculation with PBE was carried out for crystalline DyCdGa at its relaxed geometry.

**Energy relative to the lowest polymorph listed for this composition**: 0.231 eV/atom
**Energy relative to the elements**: -0.29 eV/atom

Structure (POSCAR):
```
DyCdGa
1.0
3.4404 0.0000 0.0000
0.0000 3.4404 0.0000
-1.7202 -1.7202 5.7984
Cd Ga Dy
1 1 1
Direct
0.6305 0.6305 0.2611 Cd
0.2773 0.2773 0.5546 Ga
0.9421 0.9421 0.8843 Dy
```

=====

No. 4
A plane-wave DFT calculation with PBE was carried out for crystalline Dy4CdGa at its relaxed geometry.

**Energy relative to the elements**: -0.06 eV/atom

Structure (POSCAR):
```
Dy4CdGa
1.0
-1.4182 -0.0593 -4.7804
4.5240 -1.6300 -1.3218
-2.2644 -6.9012 0.7573
Ga Dy Cd
1 4 1
Direct
0.0014 0.9972 0.4981 Ga
0.5013 0.9974 0.7390 Dy
0.0013 0.4972 0.2573 Dy
0.0013 0.4974 0.7390 Dy
0.5013 0.9972 0.2573 Dy
0.5013 0.4973 0.9982 Cd
```

=====

No. 5
A plane-wave DFT calculation with PBE was carried out for crystalline DyCdGa at its relaxed geometry.

**Energy relative to the lowest polymorph listed for this composition**: 0.119 eV/atom
**Energy relative to the elements**: -0.40 eV/atom

Structure (POSCAR):
```
DyCdGa
1.0
4.7069 0.0000 0.0000
2.3534 4.0763 0.0000
2.3534 1.3588 3.8432
Cd Ga Dy
1 1 1
Direct
0.0000 0.0000 0.0000 Cd
0.2500 0.2500 0.2500 Ga
0.5000 0.5000 0.5000 Dy
```

=====

No. 6
A plane-wave DFT calculation with PBE was carried out for crystalline DyCdGa at its relaxed geometry.

**Energy relative to the lowest polymorph listed for this composition**: 0.289 eV/atom
**Energy relative to the elements**: -0.23 eV/atom

Structure (POSCAR):
```
DyCdGa
1.0
-0.4625 3.2410 1.2534
-4.0164 -1.5256 2.4628
5.2032 -3.5778 6.2692
Ga Cd Dy
2 2 2
Direct
0.8320 0.7500 0.6639 Ga
0.1680 0.2500 0.3361 Ga
0.4623 0.7500 0.9247 Cd
0.5377 0.2500 0.0753 Cd
0.6644 0.7500 0.3288 Dy
0.3356 0.2500 0.6712 Dy
```

=====

No. 7
A plane-wave DFT calculation with PBE was carried out for crystalline Dy5Cd2Ga2 at its relaxed geometry.

**Energy relative to the elements**: -0.40 eV/atom

Structure (POSCAR):
```
Dy5Cd2Ga2
1.0
-0.8332 -4.7799 -5.8263
6.8549 -3.0059 1.4857
-6.9275 -4.0000 4.2722
Cd Dy Ga
4 10 4
Direct
0.5000 0.2794 0.5587 Cd
0.0000 0.2206 0.4413 Cd
0.5000 0.7206 0.4413 Cd
0.0000 0.7794 0.5587 Cd
0.8211 0.8144 0.2581 Dy
0.5000 0.5000 0.0000 Dy
0.0000 0.0000 0.0000 Dy
0.1789 0.1856 0.7419 Dy
0.8211 0.5562 0.7419 Dy
0.3211 0.9438 0.2581 Dy
0.3211 0.6856 0.7419 Dy
0.1789 0.4438 0.2581 Dy
0.6789 0.3144 0.2581 Dy
0.6789 0.0562 0.7419 Dy
0.1193 0.6188 0.0000 Ga
0.8807 0.3812 0.0000 Ga
0.6193 0.8812 0.0000 Ga
0.3807 0.1188 0.0000 Ga
```

=====

No. 8
A plane-wave DFT calculation with PBE was carried out for crystalline Dy3Cd2Ga2 at its relaxed geometry.

**Energy relative to the elements**: -0.46 eV/atom

Structure (POSCAR):
```
Dy3Cd2Ga2
1.0
-3.4639 1.2549 -2.0405
-0.6622 -3.4306 -0.9858
-7.6264 -0.8491 8.0778
Cd Dy Ga
2 3 2
Direct
0.5804 0.5000 0.8392 Cd
0.4196 0.5000 0.1608 Cd
0.8337 0.0000 0.3326 Dy
0.0000 0.0000 0.0000 Dy
0.1663 0.0000 0.6674 Dy
0.7169 0.5000 0.5661 Ga
0.2831 0.5000 0.4339 Ga
```

=====

No. 9
A plane-wave DFT calculation with PBE was carried out for crystalline Dy6CdGa2 at its relaxed geometry.

**Energy relative to the lowest polymorph listed for this composition**: 0.242 eV/atom
**Energy relative to the elements**: -0.12 eV/atom

Structure (POSCAR):
```
Dy6CdGa2
1.0
-2.8864 -1.8074 3.6286
-2.3554 -5.0824 -4.4052
8.2347 -1.0738 2.6001
Dy Ga Cd
6 2 1
Direct
0.5000 0.2589 0.0000 Dy
0.8304 0.5774 0.6606 Dy
0.1696 0.4226 0.3394 Dy
0.1696 0.9168 0.3394 Dy
0.5000 0.7411 0.0000 Dy
0.8304 0.0832 0.6606 Dy
0.6676 0.6678 0.3355 Ga
0.3324 0.3322 0.6645 Ga
0.0000 0.0000 0.0000 Cd
```

=====

No. 10
A plane-wave DFT calculation with PBE was carried out for crystalline DyCdGa4 at its relaxed geometry.

**Energy relative to the elements**: -0.20 eV/atom

Structure (POSCAR):
```
DyCdGa4
1.0
5.5536 0.0000 0.0000
2.7768 4.8096 0.0000
2.7768 1.6032 4.5345
Ga Dy Cd
4 1 1
Direct
0.6247 0.6247 0.1259 Ga
0.6247 0.1259 0.6247 Ga
0.6247 0.6247 0.6247 Ga
0.1259 0.6247 0.6247 Ga
0.2500 0.2500 0.2500 Dy
0.0000 0.0000 0.0000 Cd
```

=====

No. 11
A plane-wave DFT calculation with PBE was carried out for crystalline Dy4CdGaHg2 at its relaxed geometry.

**Energy relative to the elements**: -0.46 eV/atom

Structure (POSCAR):
```
Dy4CdGaHg2
1.0
5.2323 0.0000 0.0000
2.6162 4.5313 0.0000
2.6162 1.5104 8.5214
Dy Cd Hg Ga
4 1 2 1
Direct
0.8707 0.8707 0.3878 Dy
0.1293 0.1293 0.6122 Dy
0.6201 0.6201 0.1398 Dy
0.3799 0.3799 0.8602 Dy
0.0000 0.0000 0.0000 Cd
0.7441 0.7441 0.7678 Hg
0.2559 0.2559 0.2322 Hg
0.5000 0.5000 0.5000 Ga
```

=====

No. 12
A plane-wave DFT calculation with PBE was carried out for crystalline DyCdGaHg at its relaxed geometry.

**Energy relative to the elements**: -0.35 eV/atom

Structure (POSCAR):
```
DyCdGaHg
1.0
-2.1193 -4.5352 0.4504
1.9864 -3.4036 3.1197
-2.4108 -1.2383 4.2329
Cd Hg Ga Dy
1 1 1 1
Direct
0.7500 0.7500 0.7500 Cd
0.5000 0.5000 0.5000 Hg
0.0000 0.0000 0.0000 Ga
0.2500 0.2500 0.2500 Dy
```